DFT (GGA-PBE) results for a relaxed GaPdPt2 crystal.

```
GaPdPt2
1.0
-1.885 1.885 9.416
1.885 -1.885 9.416
1.885 1.885 -9.416
Ga Pd Pt
2 2 4
Direct
0.000 0.000 0.000 Ga
0.750 0.250 0.500 Ga
0.250 0.750 0.500 Pd
0.500 0.500 0.000 Pd
0.122 0.625 0.997 Pt
0.375 0.372 0.497 Pt
0.628 0.125 0.003 Pt
0.875 0.878 0.503 Pt
```

Magnetization: 0.00 Bohr magnetons per cell
SG: No. 122
Mass density: 14.0 g/cm³
ΔE_f: -0.1587 eV per atom